No. 1
This record from the Alexandria database describes crystalline PrZr2BeN4 at its relaxed geometry. The functional is PBE-GGA.

Cell: 5.7278 5.7278 10.8788 Å, 90.00 90.00 146.69°
Last column: nearest neighbours and their distance in Å.
Positions (direct):
Pr (0.1006, 0.8994, 0.7500)  6 N 2.60-2.61
Pr (0.8994, 0.1006, 0.2500)  6 N 2.60-2.61
Zr (0.3687, 0.6313, 0.5512)  6 N 2.19-2.34
Zr (0.3687, 0.6313, 0.9488)  6 N 2.19-2.34
Zr (0.6313, 0.3687, 0.0512)  6 N 2.19-2.34
Zr (0.6313, 0.3687, 0.4488)  6 N 2.19-2.34
Be (0.1757, 0.8243, 0.2500)  2 N 1.71
Be (0.8243, 0.1757, 0.7500)  2 N 1.71
N (0.0000, 0.0000, 0.0000)  4 Zr 2.25
N (0.0000, 0.0000, 0.5000)  4 Zr 2.25
N (0.2657, 0.7343, 0.1213)  1 Be 1.71
N (0.2657, 0.7343, 0.3787)  1 Be 1.71
N (0.4163, 0.5837, 0.7500)  2 Be 1.93
N (0.5837, 0.4163, 0.2500)  2 Be 1.93
N (0.7343, 0.2657, 0.6213)  1 Be 1.71
N (0.7343, 0.2657, 0.8787)  1 Be 1.71

Calculated values
Uncorrected energy   -141.6 eV/cell

***

No. 2
This record from the Alexandria database describes crystalline BePt2N2 at its relaxed geometry. The functional is PBE-GGA.

Cell: 5.4725 5.4725 3.8962 Å, 90.00 90.00 90.00°
Last column: nearest neighbours and their distance in Å.
Positions (direct):
Be (0.0000, 0.0000, 0.0000)  4 N 1.93
Be (0.5000, 0.5000, 0.0000)  4 N 1.93
Pt (0.2493, 0.2507, 0.5000)  2 N 1.95
Pt (0.2507, 0.7507, 0.5000)  2 N 1.95
Pt (0.7493, 0.2493, 0.5000)  2 N 1.95
Pt (0.7507, 0.7493, 0.5000)  2 N 1.95
N (0.2493, 0.2507, 0.0000)  2 Be 1.93, 2 Pt 1.95
N (0.2507, 0.7507, 0.0000)  2 Be 1.93, 2 Pt 1.95
N (0.7493, 0.2493, 0.0000)  2 Be 1.93, 2 Pt 1.95
N (0.7507, 0.7493, 0.0000)  2 Be 1.93, 2 Pt 1.95

Calculated values
Relative energy among the computed polymorphs   0 meV per atom
Uncorrected energy   -60.4 eV/cell

***

No. 3
This record from the Alexandria database describes crystalline BePt2N at its relaxed geometry. The functional is PBE-GGA.

Cell: 4.0426 4.0426 4.0426 Å, 60.00 60.00 60.00°
Last column: nearest neighbours and their distance in Å.
Positions (direct):
Be (0.0000, 0.0000, 0.0000)  8 Pt 2.48
Pt (0.2500, 0.2500, 0.2500)  4 N 2.48, 4 Be 2.48
Pt (0.7500, 0.7500, 0.7500)  4 N 2.48, 4 Be 2.48
N (0.5000, 0.5000, 0.5000)  8 Pt 2.48

Calculated values
Relative energy among the computed polymorphs   348 meV per atom
Uncorrected energy   -21.0 eV/cell

***

No. 4
This record from the Alexandria database describes crystalline BePt2N at its relaxed geometry. The functional is PBE-GGA.

Cell: 6.4549 6.4549 6.4549 Å, 138.68 138.68 59.87°
Last column: nearest neighbours and their distance in Å.
Positions (direct):
Be (0.0000, 0.0000, 0.0000)  4 Pt 2.26
Be (0.7500, 0.2500, 0.5000)  4 Pt 2.26
Pt (0.1726, 0.6250, 0.0476)  2 N 2.03, 2 Be 2.26
Pt (0.3750, 0.4226, 0.5476)  2 N 2.03, 2 Be 2.26
Pt (0.5774, 0.1250, 0.9524)  2 N 2.03, 2 Be 2.26
Pt (0.8750, 0.8274, 0.4524)  2 N 2.03, 2 Be 2.26
N (0.2500, 0.7500, 0.5000)  4 Pt 2.03
N (0.5000, 0.5000, 0.0000)  4 Pt 2.03

Calculated values
Relative energy among the computed polymorphs   0 meV per atom
Uncorrected energy   -44.8 eV/cell